CsPmB | PBE | relaxed

The structure in extended XYZ format:
```
3
Lattice="-3.1239 -3.5147 -1.5199 -1.7164 -3.3386 3.2140 -4.7366 0.1287 1.4035" Properties=species:S:1:pos:R:3 pbc="T T T"
B -7.1827 -5.0434 2.3231
Cs 0.0000 0.0000 0.0000
Pm -2.3942 -1.6811 0.7744
```

Its total magnetization is 0.0 μB per formula unit. The symmetry is F-43m (216). For the energy, the calculation gives -0.169 Ry per atom.